(1)
This record from the Alexandria database describes a relaxed AcSbPPd crystal. The functional is PBE.

## Properties
Symmetry: F-43m, No. 216
ρ in Mg/m³: 8.6
Density of states at the Fermi level in states/eV/f.u.: 3.0
Total DFT energy (no corrections) in eV per atom: -5.19
Formation energy without anion corrections in eV/atom: -0.48

Lattice parameters (Å, degrees): 5.109 5.109 5.109 60.00 60.00 60.00
Fractional coordinates of all 4 atoms:
1 P 0.750 0.750 0.750
2 Pd 0.250 0.250 0.250
3 Sb 0.500 0.500 0.500
4 Ac 0.000 0.000 0.000

(2)
This record from the Alexandria database describes a relaxed AcScP2Pd2 crystal. The functional is PBE.

## Properties
Symmetry: P-3m1, No. 164
ρ in Mg/m³: 7.7
Density of states at the Fermi level in states/eV/f.u.: 1.0
Energy relative to the elements in meV/atom: -1164.2
Total DFT energy (no corrections) in eV per atom: -6.44

Lattice parameters (Å, degrees): 4.243 4.243 7.530 90.00 90.00 120.00
Fractional coordinates of all 6 atoms:
1 Sc 0.000 0.000 0.500
2 Ac 0.000 0.000 0.000
3 Pd 0.667 0.333 0.300
4 Pd 0.333 0.667 0.700
5 P 0.333 0.667 0.277
6 P 0.667 0.333 0.723

(3)
This record from the Alexandria database describes a relaxed Ac4PPdSe2 crystal. The functional is PBE.

## Properties
Symmetry: P2/m, No. 10
ρ in Mg/m³: 7.9
Density of states at the Fermi level in states/eV/f.u.: 5.5
Total DFT energy (no corrections) in eV per atom: -5.73
Formation energy without anion corrections in eV/atom: -1.48

Lattice parameters (Å, degrees): 4.407 7.776 7.799 108.73 90.00 90.00
Fractional coordinates of all 8 atoms:
1 Ac 0.500 0.241 0.237
2 P 0.000 0.000 0.000
3 Ac 0.000 0.253 0.764
4 Ac 0.500 0.759 0.763
5 Ac 0.000 0.747 0.236
6 Se 0.500 0.000 0.500
7 Se 0.000 0.500 0.500
8 Pd 0.500 0.500 0.000

(4)
This record from the Alexandria database describes a relaxed Ac2SiPPd6 crystal. The functional is PBE.

## Properties
Symmetry: P-1, No. 2
ρ in Mg/m³: 9.3
Density of states at the Fermi level in states/eV/f.u.: 4.2
Total DFT energy (no corrections) in eV per atom: -5.85
Formation energy without anion corrections in eV/atom: -0.83

Lattice parameters (Å, degrees): 6.601 6.741 5.801 64.45 64.14 87.15
Fractional coordinates of all 10 atoms:
1 Si 0.000 0.000 0.000
2 Pd 0.765 0.732 0.501
3 Ac 0.282 0.785 0.467
4 Pd 0.150 0.649 0.101
5 Ac 0.718 0.215 0.533
6 P 0.500 0.500 0.000
7 Pd 0.235 0.268 0.499
8 Pd 0.850 0.351 0.899
9 Pd 0.234 0.268 0.000
10 Pd 0.766 0.732 0.000

(5)
This record from the Alexandria database describes a relaxed Ac3Si2PPd9 crystal. The functional is PBE.

## Properties
Symmetry: P-3m1, No. 164
ρ in Mg/m³: 9.1
Density of states at the Fermi level in states/eV/f.u.: 5.5
Total DFT energy (no corrections) in eV per atom: -5.78
Formation energy without anion corrections in eV/atom: -0.76

Lattice parameters (Å, degrees): 6.634 6.634 8.268 90.00 90.00 120.00
Fractional coordinates of all 15 atoms:
1 Pd 0.852 0.148 0.699
2 P 0.000 0.000 0.500
3 Pd 0.148 0.852 0.301
4 Pd 0.295 0.148 0.699
5 Pd 0.500 0.500 0.000
6 Pd 0.852 0.705 0.699
7 Ac 0.333 0.667 0.658
8 Pd 0.000 0.500 0.000
9 Ac 0.667 0.333 0.342
10 Pd 0.500 0.000 0.000
11 Si 0.333 0.667 0.184
12 Ac 0.000 0.000 0.000
13 Si 0.667 0.333 0.816
14 Pd 0.705 0.852 0.301
15 Pd 0.148 0.295 0.301

(6)
This record from the Alexandria database describes a relaxed Ac2SmP3Pd12 crystal. The functional is PBE.

## Properties
Symmetry: R-3m, No. 166
ρ in Mg/m³: 8.9
Density of states at the Fermi level in states/eV/f.u.: 7.1
Energy relative to the elements in meV/atom: -491.1
Total DFT energy (no corrections) in eV per atom: -5.57

Lattice parameters (Å, degrees): 7.554 7.554 7.554 70.37 70.37 70.37
Fractional coordinates of all 18 atoms:
1 Pd 0.290 0.870 0.290
2 Pd 0.611 0.146 0.146
3 P 0.500 0.000 0.000
4 Pd 0.710 0.130 0.710
5 Pd 0.710 0.710 0.130
6 Pd 0.130 0.710 0.710
7 P 0.000 0.000 0.500
8 P 0.000 0.500 0.000
9 Pd 0.870 0.290 0.290
10 Pd 0.854 0.389 0.854
11 Pd 0.389 0.854 0.854
12 Pd 0.146 0.146 0.611
13 Ac 0.394 0.394 0.394
14 Pd 0.290 0.290 0.870
15 Sm 0.000 0.000 0.000
16 Pd 0.146 0.611 0.146
17 Pd 0.854 0.854 0.389
18 Ac 0.606 0.606 0.606

(7)
This record from the Alexandria database describes a relaxed Ac2SnP3Pd4 crystal. The functional is PBE.

## Properties
Symmetry: P-4m2, No. 115
ρ in Mg/m³: 9.0
Density of states at the Fermi level in states/eV/f.u.: 5.6
Energy relative to the elements in meV/atom: -877.8
Total DFT energy (no corrections) in eV per atom: -5.80

Lattice parameters (Å, degrees): 4.356 4.356 10.655 90.00 90.00 90.00
Fractional coordinates of all 10 atoms:
1 Pd 0.500 0.000 0.646
2 Pd 0.000 0.000 0.000
3 Ac 0.000 0.500 0.766
4 Ac 0.500 0.000 0.234
5 P 0.000 0.500 0.126
6 P 0.500 0.000 0.874
7 Pd 0.000 0.500 0.354
8 P 0.000 0.000 0.500
9 Sn 0.500 0.500 0.500
10 Pd 0.500 0.500 0.000

(8)
This record from the Alexandria database describes a relaxed AcSn2P2Pd7 crystal. The functional is PBE.

## Properties
Symmetry: C2/m, No. 12
ρ in Mg/m³: 9.1
Density of states at the Fermi level in states/eV/f.u.: 5.4
Energy relative to the elements in meV/atom: -599.9
Total DFT energy (no corrections) in eV per atom: -5.54

Lattice parameters (Å, degrees): 4.461 4.461 11.742 88.67 88.67 85.80
Fractional coordinates of all 12 atoms:
1 Sn 0.847 0.847 0.396
2 Pd 0.500 0.500 0.000
3 P 0.642 0.642 0.817
4 Pd 0.359 0.359 0.407
5 Pd 0.644 0.143 0.748
6 P 0.358 0.358 0.183
7 Ac 0.000 0.000 0.000
8 Pd 0.356 0.857 0.252
9 Pd 0.641 0.641 0.593
10 Sn 0.153 0.153 0.604
11 Pd 0.143 0.644 0.748
12 Pd 0.857 0.356 0.252

(9)
This record from the Alexandria database describes a relaxed AcSnP2Pd4 crystal. The functional is PBE.

## Properties
Symmetry: P4/mmm, No. 123
ρ in Mg/m³: 9.0
Density of states at the Fermi level in states/eV/f.u.: 5.1
Energy relative to the elements in meV/atom: -726.5
Total DFT energy (no corrections) in eV per atom: -5.69

Lattice parameters (Å, degrees): 4.363 4.363 8.072 90.00 90.00 90.00
Fractional coordinates of all 8 atoms:
1 Pd 0.500 0.000 0.202
2 Pd 0.500 0.000 0.798
3 Pd 0.000 0.500 0.202
4 Pd 0.000 0.500 0.798
5 P 0.500 0.500 0.353
6 P 0.500 0.500 0.647
7 Ac 0.000 0.000 0.500
8 Sn 0.000 0.000 0.000

(10)
This record from the Alexandria database describes a relaxed Ac2SnPPd6 crystal. The functional is PBE.

## Properties
Symmetry: P-1, No. 2
ρ in Mg/m³: 9.2
Density of states at the Fermi level in states/eV/f.u.: 5.2
Energy relative to the elements in meV/atom: -766.1
Total DFT energy (no corrections) in eV per atom: -5.64

Lattice parameters (Å, degrees): 6.405 7.292 6.397 64.08 60.01 89.94
Fractional coordinates of all 10 atoms:
1 P 0.500 0.500 0.000
2 Pd 0.188 0.667 0.073
3 Pd 0.739 0.672 0.521
4 Pd 0.812 0.333 0.927
5 Sn 0.000 0.000 0.000
6 Ac 0.736 0.205 0.529
7 Ac 0.264 0.795 0.471
8 Pd 0.261 0.331 0.928
9 Pd 0.739 0.669 0.072
10 Pd 0.261 0.328 0.479

(11)
This record from the Alexandria database describes a relaxed SrAcPPd crystal. The functional is PBE.

## Properties
Symmetry: F-43m, No. 216
ρ in Mg/m³: 7.1
Density of states at the Fermi level in states/eV/f.u.: 0.0
Energy relative to the elements in meV/atom: -840.7
Total DFT energy (no corrections) in eV per atom: -4.94

Lattice parameters (Å, degrees): 5.306 5.306 5.306 60.00 60.00 60.00
Fractional coordinates of all 4 atoms:
1 Ac 0.250 0.250 0.250
2 Sr 0.750 0.750 0.750
3 P 0.500 0.500 0.500
4 Pd 0.000 0.000 0.000

(12)
This record from the Alexandria database describes a relaxed Ac2TbP3Pd12 crystal. The functional is PBE.

## Properties
Symmetry: R-3m, No. 166
ρ in Mg/m³: 8.9
Density of states at the Fermi level in states/eV/f.u.: 6.5
Energy relative to the elements in meV/atom: -507.5
Total DFT energy (no corrections) in eV per atom: -5.58

Lattice parameters (Å, degrees): 7.561 7.561 7.561 69.97 69.97 69.97
Fractional coordinates of all 18 atoms:
1 Pd 0.144 0.613 0.144
2 Pd 0.288 0.288 0.870
3 Pd 0.712 0.130 0.712
4 Pd 0.856 0.387 0.856
5 Pd 0.130 0.712 0.712
6 Ac 0.394 0.394 0.394
7 Pd 0.870 0.288 0.288
8 Pd 0.712 0.712 0.130
9 P 0.500 0.000 0.000
10 Ac 0.606 0.606 0.606
11 P 0.000 0.500 0.000
12 P 0.000 0.000 0.500
13 Pd 0.144 0.144 0.613
14 Tb 0.000 0.000 0.000
15 Pd 0.387 0.856 0.856
16 Pd 0.856 0.856 0.387
17 Pd 0.613 0.144 0.144
18 Pd 0.288 0.870 0.288

(13)
This record from the Alexandria database describes a relaxed Ac2TePPd6 crystal. The functional is PBE.

## Properties
Symmetry: Pmmn, No. 59
ρ in Mg/m³: 9.4
Density of states at the Fermi level in states/eV/f.u.: 4.8
Total DFT energy (no corrections) in eV per atom: -5.60
Formation energy without anion corrections in eV/atom: -0.81

Lattice parameters (Å, degrees): 5.673 8.648 8.965 90.00 90.00 90.00
Fractional coordinates of all 20 atoms:
1 Pd 0.254 0.991 0.000
2 Pd 0.500 0.110 0.751
3 Ac 0.000 0.260 0.248
4 P 0.000 0.771 0.000
5 Te 0.500 0.290 0.000
6 Ac 0.500 0.740 0.748
7 P 0.500 0.229 0.500
8 Ac 0.000 0.260 0.752
9 Pd 0.000 0.890 0.251
10 Pd 0.742 0.452 0.500
11 Pd 0.754 0.009 0.500
12 Te 0.000 0.710 0.500
13 Ac 0.500 0.740 0.252
14 Pd 0.242 0.548 0.000
15 Pd 0.758 0.548 0.000
16 Pd 0.000 0.890 0.749
17 Pd 0.500 0.110 0.249
18 Pd 0.246 0.009 0.500
19 Pd 0.258 0.452 0.500
20 Pd 0.746 0.991 0.000

(14)
This record from the Alexandria database describes a relaxed Ac6Te3PPd2 crystal. The functional is PBE.

## Properties
Symmetry: C2/m, No. 12
ρ in Mg/m³: 7.9
Density of states at the Fermi level in states/eV/f.u.: 9.0
Total DFT energy (no corrections) in eV per atom: -5.39
Formation energy without anion corrections in eV/atom: -1.24

Lattice parameters (Å, degrees): 7.831 7.831 8.290 99.10 99.10 120.05
Fractional coordinates of all 12 atoms:
1 Te 0.500 0.500 0.500
2 Ac 0.928 0.596 0.782
3 Ac 0.072 0.404 0.218
4 Pd 0.667 0.333 0.000
5 Ac 0.404 0.072 0.218
6 P 0.000 0.000 0.000
7 Ac 0.259 0.259 0.779
8 Te 0.165 0.835 0.500
9 Ac 0.741 0.741 0.221
10 Pd 0.333 0.667 0.000
11 Te 0.835 0.165 0.500
12 Ac 0.596 0.928 0.782

(15)
This record from the Alexandria database describes a relaxed Ac3TeP2Pd9 crystal. The functional is PBE.

## Properties
Symmetry: P-3m1, No. 164
ρ in Mg/m³: 9.1
Density of states at the Fermi level in states/eV/f.u.: 3.7
Total DFT energy (no corrections) in eV per atom: -5.62
Formation energy without anion corrections in eV/atom: -0.75

Lattice parameters (Å, degrees): 7.149 7.149 7.510 90.00 90.00 120.00
Fractional coordinates of all 15 atoms:
1 Ac 0.000 0.000 0.000
2 Pd 0.375 0.188 0.672
3 P 0.667 0.333 0.865
4 Pd 0.188 0.375 0.328
5 Pd 0.812 0.625 0.672
6 Ac 0.333 0.667 0.675
7 Te 0.000 0.000 0.500
8 Pd 0.188 0.812 0.328
9 Pd 0.625 0.812 0.328
10 Pd 0.000 0.500 0.000
11 Pd 0.500 0.000 0.000
12 Ac 0.667 0.333 0.325
13 Pd 0.500 0.500 0.000
14 Pd 0.812 0.188 0.672
15 P 0.333 0.667 0.135

(16)
This record from the Alexandria database describes a relaxed Ac2TlPPd6 crystal. The functional is PBE.

## Properties
Symmetry: Pmmn, No. 59
ρ in Mg/m³: 10.0
Density of states at the Fermi level in states/eV/f.u.: 4.9
Energy relative to the elements in meV/atom: -709.4
Total DFT energy (no corrections) in eV per atom: -5.42

Lattice parameters (Å, degrees): 5.746 8.533 8.972 90.00 90.00 90.00
Fractional coordinates of all 20 atoms:
1 Pd 0.000 0.898 0.754
2 Ac 0.000 0.265 0.753
3 Pd 0.000 0.898 0.246
4 Pd 0.738 0.445 0.500
5 Ac 0.000 0.265 0.247
6 Pd 0.238 0.555 0.000
7 Ac 0.500 0.735 0.253
8 P 0.500 0.216 0.500
9 Pd 0.752 0.990 0.500
10 Pd 0.500 0.102 0.746
11 P 0.000 0.784 0.000
12 Pd 0.762 0.555 0.000
13 Ac 0.500 0.735 0.747
14 Pd 0.748 0.010 0.000
15 Pd 0.248 0.990 0.500
16 Tl 0.000 0.706 0.500
17 Tl 0.500 0.294 0.000
18 Pd 0.262 0.445 0.500
19 Pd 0.500 0.102 0.254
20 Pd 0.252 0.010 0.000

(17)
This record from the Alexandria database describes a relaxed Ac2TlP3Pd4 crystal. The functional is PBE.

## Properties
Symmetry: P-4m2, No. 115
ρ in Mg/m³: 9.6
Density of states at the Fermi level in states/eV/f.u.: 5.0
Energy relative to the elements in meV/atom: -795.0
Total DFT energy (no corrections) in eV per atom: -5.55

Lattice parameters (Å, degrees): 4.346 4.346 10.806 90.00 90.00 90.00
Fractional coordinates of all 10 atoms:
1 Pd 0.500 0.500 0.000
2 P 0.000 0.500 0.123
3 Tl 0.500 0.500 0.500
4 P 0.000 0.000 0.500
5 Pd 0.500 0.000 0.656
6 Ac 0.000 0.500 0.767
7 Pd 0.000 0.500 0.344
8 P 0.500 0.000 0.877
9 Pd 0.000 0.000 0.000
10 Ac 0.500 0.000 0.233

(18)
This record from the Alexandria database describes a relaxed AcTlP2Pd5 crystal. The functional is PBE.

## Properties
Symmetry: P4/mmm, No. 123
ρ in Mg/m³: 9.0
Density of states at the Fermi level in states/eV/f.u.: 5.3
Energy relative to the elements in meV/atom: -533.2
Total DFT energy (no corrections) in eV per atom: -5.34

Lattice parameters (Å, degrees): 4.412 4.412 9.707 90.00 90.00 90.00
Fractional coordinates of all 9 atoms:
1 Pd 0.500 0.000 0.187
2 Pd 0.000 0.500 0.813
3 Pd 0.500 0.000 0.813
4 Pd 0.000 0.500 0.187
5 P 0.500 0.500 0.735
6 Tl 0.000 0.000 0.000
7 Pd 0.500 0.500 0.500
8 P 0.500 0.500 0.265
9 Ac 0.000 0.000 0.500

(19)
This record from the Alexandria database describes a relaxed Ac2TmP3Pd12 crystal. The functional is PBE.

## Properties
Symmetry: R-3m, No. 166
ρ in Mg/m³: 9.0
Density of states at the Fermi level in states/eV/f.u.: 5.9
Energy relative to the elements in meV/atom: -520.0
Total DFT energy (no corrections) in eV per atom: -5.59

Lattice parameters (Å, degrees): 7.560 7.560 7.560 69.74 69.74 69.74
Fractional coordinates of all 18 atoms:
1 Pd 0.131 0.713 0.713
2 Tm 0.000 0.000 0.000
3 Pd 0.713 0.131 0.713
4 Pd 0.869 0.287 0.287
5 Ac 0.607 0.607 0.607
6 Pd 0.287 0.869 0.287
7 Pd 0.713 0.713 0.131
8 Pd 0.142 0.615 0.142
9 Pd 0.858 0.385 0.858
10 Pd 0.142 0.142 0.615
11 Ac 0.393 0.393 0.393
12 Pd 0.287 0.287 0.869
13 Pd 0.615 0.142 0.142
14 P 0.500 0.000 0.000
15 Pd 0.385 0.858 0.858
16 P 0.000 0.000 0.500
17 Pd 0.858 0.858 0.385
18 P 0.000 0.500 0.000

(20)
This record from the Alexandria database describes a relaxed AcZnPPd6 crystal. The functional is PBE.

## Properties
Symmetry: Imma, No. 74
ρ in Mg/m³: 9.1
Density of states at the Fermi level in states/eV/f.u.: 2.2
Energy relative to the elements in meV/atom: -403.5
Total DFT energy (no corrections) in eV per atom: -5.06

Lattice parameters (Å, degrees): 6.562 9.226 8.082 124.81 113.95 90.00
Fractional coordinates of all 18 atoms:
1 P 0.500 0.500 0.000
2 Ac 0.834 0.584 0.667
3 Ac 0.166 0.416 0.333
4 P 0.500 0.000 0.000
5 Pd 0.916 0.166 0.833
6 Pd 0.115 0.885 0.742
7 Pd 0.551 0.301 0.101
8 Pd 0.885 0.643 0.258
9 Pd 0.885 0.115 0.258
10 Pd 0.373 0.643 0.258
11 Pd 0.449 0.699 0.899
12 Zn 0.500 0.000 0.500
13 Pd 0.627 0.885 0.742
14 Pd 0.084 0.834 0.167
15 Zn 0.000 0.000 0.500
16 Pd 0.373 0.115 0.258
17 Pd 0.115 0.357 0.742
18 Pd 0.627 0.357 0.742